(1)
Ce3AsBr3 after structural relaxation, computed with GGA-PBE.

electronic total energy: -74.86 eV per cell
space group: R-3 (148)
M_tot: 3.3 μB/f.u.

a = 7.192 Å, b = 7.192 Å, c = 11.331 Å
α = 71.50°, β = 71.50°, γ = 60.00°
Each line ends with the local moment (μB).
Element x y z (fractional)
Br: 0.550 0.229 0.330  -0.01
Br: 0.229 0.890 0.330  -0.01
Br: 0.890 0.550 0.330  -0.01
Br: 0.771 0.110 0.670  -0.01
Br: 0.110 0.450 0.670  -0.01
Br: 0.450 0.771 0.670  -0.01
Ce: 0.622 0.949 0.154  0.94
Ce: 0.051 0.725 0.846  0.94
Ce: 0.275 0.622 0.154  0.94
Ce: 0.949 0.275 0.154  0.94
Ce: 0.725 0.378 0.846  0.94
Ce: 0.378 0.051 0.846  0.94
As: 0.667 0.667 0.000  -0.03
As: 0.333 0.333 0.000  -0.03

***

(2)
Tb6Nd2Cd after structural relaxation, computed with GGA-PBE.

formation energy: 0.010 eV per atom
electronic total energy: -76.28 eV per cell
space group: Pnnm (58)
excess energy over the best structure of this formula in the dataset: 40.0 meV per atom
M_tot: 0.0 μB/f.u.

a = 5.491 Å, b = 9.969 Å, c = 10.326 Å
α = 90.00°, β = 89.99°, γ = 90.00°
Element x y z (fractional)
Tb: 0.000 0.680 0.565
Tb: 0.000 0.364 0.109
Tb: 0.000 0.978 0.819
Tb: 0.500 0.522 0.319
Tb: 0.500 0.180 0.935
Tb: 0.500 0.820 0.065
Tb: 0.000 0.320 0.435
Tb: 0.500 0.478 0.681
Tb: 0.500 0.136 0.609
Tb: 0.500 0.864 0.391
Tb: 0.000 0.022 0.181
Tb: 0.000 0.636 0.891
Cd: 0.000 0.000 0.500
Cd: 0.500 0.500 0.000
Nd: 0.500 0.804 0.740
Nd: 0.000 0.304 0.760
Nd: 0.500 0.196 0.260
Nd: 0.000 0.696 0.240

***

(3)
AsIrI3 after structural relaxation, computed with GGA-PBE.

electronic total energy: -14.59 eV per cell
space group: Pm-3m (221)
excess energy over the best structure of this formula in the dataset: 0.0 meV per atom
M_tot: 0.0 μB/f.u.

a = 5.352 Å, b = 5.352 Å, c = 5.352 Å
α = 90.00°, β = 90.00°, γ = 90.00°
Element x y z (fractional)
I: 0.000 0.500 0.000
I: 0.000 0.000 0.500
I: 0.500 0.000 0.000
As: 0.500 0.500 0.500
Ir: 0.000 0.000 0.000